Material: Tm12CoBi6
Method: DFT, PBE
State: relaxed

Unit cell a=13.0559 b=13.0559 c=11.9777 alpha=90.00 beta=90.00 gamma=120.00
Space group R-3 (No. 148, hexagonal axes)
Unique sites:
Tm (0.0263, 0.1780, 0.3832) (multiplicity 18)
Tm (0.0638, 0.1823, 0.8804) (multiplicity 18)
Co (0.0000, 0.0000, 0.0000) (multiplicity 3)
Bi (0.0417, 0.2901, 0.6373) (multiplicity 18)

E_form = -761 kJ/mol of formula units
Electronic total energy = -0.1778 hartree per atom

Material: Sr4AcHg5
Method: DFT, PBE
State: relaxed

Unit cell a=4.0335 b=4.0335 c=19.9188 alpha=90.00 beta=90.00 gamma=90.00
Space group P4/mmm (No. 123)
Unique sites:
Sr (0.0000, 0.0000, 0.0996) (multiplicity 2)
Sr (0.0000, 0.0000, 0.2988) (multiplicity 2)
Ac (0.0000, 0.0000, 0.5000) (multiplicity 1)
Hg (0.5000, 0.5000, 0.0000) (multiplicity 1)
Hg (0.5000, 0.5000, 0.1989) (multiplicity 2)
Hg (0.5000, 0.5000, 0.4003) (multiplicity 2)

E_form = -508 kJ/mol of formula units
Electronic total energy = -0.0647 hartree per atom

Material: SiPRh2
Method: DFT, PBE
State: relaxed

Unit cell a=8.4695 b=3.1084 c=4.2643 alpha=90.00 beta=104.49 gamma=90.00
Space group Cm (No. 8)
Unique sites:
Si (0.0000, 0.0000, 0.0000) (multiplicity 2)
P (0.2608, 0.5000, 0.3981) (multiplicity 2)
Rh (0.2664, 0.0000, 0.8737) (multiplicity 2)
Rh (0.4896, 0.0000, 0.4816) (multiplicity 2)

Electronic total energy = -0.2529 hartree per atom
Formation energy without anion corrections = -0.498 eV/atom

Material: RbTa2CuPb
Method: DFT, PBE
State: relaxed

Unit cell a=5.4870 b=5.4870 c=5.2997 alpha=90.00 beta=90.00 gamma=90.00
Space group P4/mmm (No. 123)
Unique sites:
Rb (0.0000, 0.0000, 0.0000) (multiplicity 1)
Ta (0.0000, 0.5000, 0.5000) (multiplicity 2)
Cu (0.5000, 0.5000, 0.0000) (multiplicity 1)
Pb (0.5000, 0.5000, 0.5000) (multiplicity 1)

E_form = 959 kJ/mol of formula units
Electronic total energy = -0.1657 hartree per atom

Material: Y3CoTe2
Method: DFT, PBE
State: relaxed

Unit cell a=4.0388 b=6.0489 c=13.2749 alpha=90.00 beta=90.00 gamma=90.00
Space group Immm (No. 71)
Unique sites:
Y (0.0000, 0.0000, 0.0000) (multiplicity 2)
Y (0.0000, 0.0000, 0.3674) (multiplicity 4)
Co (0.0000, 0.5000, 0.0000) (multiplicity 2)
Te (0.0000, 0.5000, 0.3196) (multiplicity 4)

Electronic total energy = -0.2320 hartree per atom
Formation energy without anion corrections = -0.849 eV/atom

Material: Nd3USb4
Method: DFT, PBE
State: relaxed

Unit cell a=9.0322 b=12.6736 c=4.4641 alpha=90.00 beta=90.00 gamma=90.00
Space group Cmmm (No. 65)
Unique sites:
Nd (0.0000, 0.0000, 0.0000) (multiplicity 2)
Nd (0.2500, 0.2500, 0.5000) (multiplicity 4)
U (0.0000, 0.5000, 0.0000) (multiplicity 2)
Sb (0.0000, 0.2549, 0.0000) (multiplicity 4)
Sb (0.2442, 0.5000, 0.5000) (multiplicity 4)

Electronic total energy = -0.2275 hartree per atom
Formation energy without anion corrections = -0.930 eV/atom

Material: Li6Sn2Pd
Method: DFT, PBE
State: relaxed

Unit cell a=3.1903 b=9.0677 c=11.4873 alpha=90.00 beta=90.00 gamma=90.00
Space group Immm (No. 71)
Unique sites:
Li (0.0000, 0.0000, 0.1175) (multiplicity 4)
Li (0.0000, 0.3450, 0.1883) (multiplicity 8)
Sn (0.0000, 0.2618, 0.5000) (multiplicity 4)
Pd (0.0000, 0.5000, 0.0000) (multiplicity 2)

Energy relative to the lowest polymorph listed for this composition = 124 meV per atom
E_form = -239 kJ/mol of formula units
Electronic total energy = -0.1109 hartree per atom

Material: MgGaSnAu
Method: DFT, PBE
State: relaxed

Unit cell a=6.9101 b=6.9101 c=6.9101 alpha=90.00 beta=90.00 gamma=90.00
Space group F-43m (No. 216)
Unique sites:
Mg (0.0000, 0.0000, 0.0000) (multiplicity 4)
Ga (0.2500, 0.2500, 0.7500) (multiplicity 4)
Sn (0.0000, 0.0000, 0.5000) (multiplicity 4)
Au (0.2500, 0.2500, 0.2500) (multiplicity 4)

E_form = -58 kJ/mol of formula units
Electronic total energy = -0.1148 hartree per atom

Material: BeNbZnNi
Method: DFT, PBE
State: relaxed

Unit cell a=5.8982 b=5.8982 c=5.8982 alpha=90.00 beta=90.00 gamma=90.00
Space group F-43m (No. 216)
Unique sites:
Be (0.0000, 0.0000, 0.0000) (multiplicity 4)
Nb (0.2500, 0.2500, 0.7500) (multiplicity 4)
Zn (0.2500, 0.2500, 0.2500) (multiplicity 4)
Ni (0.0000, 0.0000, 0.5000) (multiplicity 4)

E_form = -43 kJ/mol of formula units
Electronic total energy = -0.1957 hartree per atom